(1)
This record from Alexandria describes a relaxed DyGePd crystal. The functional is PBE.

Computed properties:
The magnetic moment is 0.000 μB per atom. The value obtained for the energy relative to the elements is -991 meV/atom.

```
DyGePd
1.0
4.418 0.000 0.000
0.000 14.029 0.000
0.000 0.000 7.607
Dy Ge Pd
8 8 8
Direct
0.250 0.001 0.214 Dy
0.250 0.250 0.296 Dy
0.250 0.499 0.214 Dy
0.250 0.750 0.291 Dy
0.750 0.250 0.709 Dy
0.750 0.501 0.786 Dy
0.750 0.750 0.704 Dy
0.750 0.999 0.786 Dy
0.250 0.106 0.592 Ge
0.250 0.394 0.592 Ge
0.250 0.653 0.909 Ge
0.250 0.847 0.909 Ge
0.750 0.153 0.091 Ge
0.750 0.347 0.091 Ge
0.750 0.606 0.408 Ge
0.750 0.894 0.408 Ge
0.250 0.141 0.923 Pd
0.250 0.359 0.923 Pd
0.250 0.596 0.582 Pd
0.250 0.904 0.582 Pd
0.750 0.096 0.418 Pd
0.750 0.404 0.418 Pd
0.750 0.641 0.077 Pd
0.750 0.859 0.077 Pd
```


(2)
This record from Alexandria describes a relaxed CsLiCr2I8 crystal. The functional is PBE.

Computed properties:
The magnetic moment is 0.500 μB per atom. The formation energy (no corrections) is -0.578 eV/atom.

```
CsLiCr2I8
1.0
3.736 2.157 10.501
-3.736 2.157 10.501
0.000 -4.314 10.501
Cs Li Cr I
1 1 2 8
Direct
0.000 0.000 0.000 Cs
0.500 0.500 0.500 Li
0.245 0.245 0.245 Cr
0.755 0.755 0.755 Cr
0.116 0.765 0.445 I
0.235 0.555 0.884 I
0.327 0.327 0.327 I
0.445 0.116 0.765 I
0.555 0.884 0.235 I
0.673 0.673 0.673 I
0.765 0.445 0.116 I
0.884 0.235 0.555 I
```


(3)
This record from Alexandria describes a relaxed YLuNiHg crystal. The functional is PBE.

Computed properties:
The magnetic moment is 0.000 μB per atom. The value obtained for the energy relative to the elements is -378 meV/atom.

```
YLuNiHg
1.0
7.075 0.000 0.000
0.000 7.075 0.000
0.000 0.000 7.075
Y Lu Ni Hg
4 4 4 4
Direct
0.000 0.000 0.000 Y
0.000 0.500 0.500 Y
0.500 0.000 0.500 Y
0.500 0.500 0.000 Y
0.000 0.000 0.500 Lu
0.000 0.500 0.000 Lu
0.500 0.000 0.000 Lu
0.500 0.500 0.500 Lu
0.250 0.250 0.750 Ni
0.250 0.750 0.250 Ni
0.750 0.250 0.250 Ni
0.750 0.750 0.750 Ni
0.250 0.250 0.250 Hg
0.250 0.750 0.750 Hg
0.750 0.250 0.750 Hg
0.750 0.750 0.250 Hg
```


(4)
This record from Alexandria describes a relaxed Y2ZrIn crystal. The functional is PBE.

Computed properties:
The magnetic moment is 0.000 μB per atom. The value obtained for the distance to the lowest polymorph of the same formula is 40 meV per atom. The value obtained for the energy relative to the elements is -158 meV/atom.

```
Y2ZrIn
1.0
3.460 0.000 0.000
0.000 5.143 0.000
-1.716 0.000 6.185
Y Zr In
2 1 1
Direct
0.000 0.000 0.000 Y
0.325 0.500 0.653 Y
0.597 0.500 0.195 Zr
0.729 0.000 0.462 In
```


(5)
This record from Alexandria describes a relaxed CsRb2BaPd crystal. The functional is PBE.

Computed properties:
The magnetic moment is 0.117 μB per atom. The value obtained for the energy relative to the elements is 25 meV/atom.

```
CsRb2BaPd
1.0
7.129 0.000 0.000
0.000 7.129 0.000
0.000 0.000 6.140
Cs Rb Ba Pd
1 2 1 1
Direct
0.000 0.000 0.000 Cs
0.000 0.500 0.500 Rb
0.500 0.000 0.500 Rb
0.500 0.500 0.000 Ba
0.500 0.500 0.500 Pd
```


(6)
This record from Alexandria describes a relaxed YTiGe2O8 crystal. The functional is PBE.

Computed properties:
The magnetic moment is 0.080 μB per atom. The formation energy (no corrections) is -2.113 eV/atom.

```
YTiGe2O8
1.0
-3.405 3.405 3.167
3.405 -3.405 3.167
3.405 3.405 -3.167
Y Ti Ge O
1 1 2 8
Direct
0.000 0.000 0.000 Y
0.750 0.250 0.500 Ti
0.250 0.750 0.500 Ge
0.500 0.500 0.000 Ge
0.049 0.372 0.323 O
0.049 0.726 0.677 O
0.119 0.319 0.799 O
0.274 0.951 0.323 O
0.520 0.319 0.201 O
0.628 0.951 0.677 O
0.681 0.480 0.799 O
0.681 0.881 0.201 O
```


(7)
This record from Alexandria describes a relaxed Ac2Pt2Au3 crystal. The functional is PBE.

Computed properties:
The magnetic moment is 0.000 μB per atom. The value obtained for the distance to the lowest polymorph of the same formula is 18 meV per atom. The value obtained for the energy relative to the elements is -777 meV/atom.

```
Ac2Pt2Au3
1.0
4.182 0.000 0.000
0.000 20.321 0.000
0.000 0.000 4.041
Ac Pt Au
4 4 6
Direct
0.000 0.154 0.000 Ac
0.000 0.846 0.000 Ac
0.500 0.346 0.000 Ac
0.500 0.654 0.000 Ac
0.000 0.296 0.500 Pt
0.000 0.704 0.500 Pt
0.500 0.204 0.500 Pt
0.500 0.796 0.500 Pt
0.000 0.000 0.000 Au
0.000 0.434 0.500 Au
0.000 0.566 0.500 Au
0.500 0.066 0.500 Au
0.500 0.500 0.000 Au
0.500 0.934 0.500 Au
```


(8)
This record from Alexandria describes a relaxed OsPtI2 crystal. The functional is PBE.

Computed properties:
The magnetic moment is 0.000 μB per atom. The value obtained for the distance to the lowest polymorph of the same formula is 0 meV per atom. The formation energy (no corrections) is 1.007 eV/atom.

```
OsPtI2
1.0
6.330 0.000 0.000
0.000 6.330 0.000
0.000 0.000 10.924
Os Pt I
4 4 8
Direct
0.000 0.000 0.000 Os
0.000 0.500 0.250 Os
0.500 0.000 0.750 Os
0.500 0.500 0.500 Os
0.000 0.000 0.500 Pt
0.000 0.500 0.750 Pt
0.500 0.000 0.250 Pt
0.500 0.500 0.000 Pt
0.236 0.250 0.125 I
0.250 0.736 0.375 I
0.250 0.764 0.875 I
0.264 0.250 0.625 I
0.736 0.750 0.625 I
0.750 0.236 0.875 I
0.750 0.264 0.375 I
0.764 0.750 0.125 I
```


Number 1: D(E_F) 9.1 states/eV/cell. Number 2: D(E_F) 10.7 states/eV/cell. Number 3: D(E_F) 10.5 states/eV/cell. Number 4: D(E_F) 4.6 states/eV/cell. Number 5: D(E_F) 4.5 states/eV/cell. Number 6: D(E_F) 9.9 states/eV/cell. Number 7: D(E_F) 4.0 states/eV/cell. Number 8: D(E_F) 14.5 states/eV/cell.